#a
Material: LaNbCu
Method: DFT, PBE
State: optimized geometry

The space group is F-43m (No. 216) and the conventional cell measures 6.620, 6.620 and 6.620 Å, with angles of 90.00, 90.00 and 90.00 degrees. The asymmetric unit holds La at (0.000, 0.000, 0.000), Nb at (0.250, 0.250, 0.250) and Cu at (0.250, 0.250, 0.750).

The calculation puts the calculated volume at 24.18 Å³/atom. The spin magnetization comes out at 2.1 μB/f.u.



#b
Material: LaNbCu
Method: DFT, PBE
State: optimized geometry

The space group is F-43m (No. 216) and the conventional cell measures 6.529, 6.529 and 6.529 Å, with angles of 90.00, 90.00 and 90.00 degrees. The asymmetric unit holds La at (0.000, 0.000, 0.000), Nb at (0.250, 0.250, 0.750) and Cu at (0.000, 0.000, 0.500).

The calculation puts the calculated volume at 23.19 Å³/atom. The spin magnetization comes out at 1.2 μB/f.u.



Stability comparison, relative energies in meV per atom: #a 384; #b 0